No. 1
DFT (PBE) results for Hg2TeAs after structural relaxation.

Results
- Excess energy over the best structure of this formula in the dataset: 26 meV/atom
- V: 113.8 Å³/f.u.
- Formation energy (no corrections): 0.10 eV per atom
- DFT total energy: -1.9947 eV per atom
- Calculated density: 8.81 g cm⁻³

a b c (Å): 6.2402 9.6521 3.7795
angles (deg): 90.00 90.22 90.00
Element x y z (fractional)
Hg (0.0000, 0.0000, 0.0000)
Hg (0.0000, 0.2644, 0.5000)
Hg (0.5000, 0.5000, 0.0000)
Hg (0.5000, 0.7644, 0.5000)
Te (0.0000, 0.5564, 0.0000)
Te (0.5000, 0.0564, 0.0000)
As (0.0000, 0.7569, 0.5000)
As (0.5000, 0.2569, 0.5000)

No. 2
DFT (PBE) results for HgTe2As after structural relaxation.

Results
- Excess energy over the best structure of this formula in the dataset: 82 meV/atom
- V: 110.7 Å³/f.u.
- Formation energy (no corrections): 0.08 eV per atom
- DFT total energy: -2.7290 eV per atom
- Calculated density: 7.96 g cm⁻³

a b c (Å): 5.9956 8.6297 5.1892
angles (deg): 90.00 124.47 90.00
Element x y z (fractional)
Hg (0.0000, 0.0000, 0.0000)
Hg (0.5000, 0.5000, 0.0000)
Te (0.2500, 0.2500, 0.5000)
Te (0.2500, 0.7500, 0.5000)
Te (0.7500, 0.2500, 0.5000)
Te (0.7500, 0.7500, 0.5000)
As (0.0000, 0.5000, 0.0000)
As (0.5000, 0.0000, 0.0000)

No. 3
DFT (PBE) results for Hg2TeAs after structural relaxation.

Results
- Excess energy over the best structure of this formula in the dataset: 336 meV/atom
- V: 99.5 Å³/f.u.
- Formation energy (no corrections): 0.41 eV per atom
- DFT total energy: -1.6841 eV per atom
- Calculated density: 10.07 g cm⁻³

a b c (Å): 7.3570 7.3570 7.3570
angles (deg): 90.00 90.00 90.00
Element x y z (fractional)
Hg (0.2500, 0.2500, 0.2500)
Hg (0.2500, 0.2500, 0.7500)
Hg (0.2500, 0.7500, 0.2500)
Hg (0.2500, 0.7500, 0.7500)
Hg (0.7500, 0.2500, 0.2500)
Hg (0.7500, 0.2500, 0.7500)
Hg (0.7500, 0.7500, 0.2500)
Hg (0.7500, 0.7500, 0.7500)
Te (0.0000, 0.0000, 0.0000)
Te (0.0000, 0.5000, 0.5000)
Te (0.5000, 0.0000, 0.5000)
Te (0.5000, 0.5000, 0.0000)
As (0.0000, 0.0000, 0.5000)
As (0.0000, 0.5000, 0.0000)
As (0.5000, 0.0000, 0.0000)
As (0.5000, 0.5000, 0.5000)

No. 4
DFT (PBE) results for Hg2TeAs2 after structural relaxation.

Results
- Excess energy over the best structure of this formula in the dataset: 0 meV/atom
- V: 128.3 Å³/f.u.
- Formation energy (no corrections): 0.26 eV per atom
- DFT total energy: -2.3502 eV per atom
- Calculated density: 8.78 g cm⁻³

a b c (Å): 8.0935 8.0935 3.9186
angles (deg): 90.00 90.00 90.00
Element x y z (fractional)
Hg (0.1234, 0.3766, 0.0000)
Hg (0.3766, 0.8766, 0.0000)
Hg (0.6234, 0.1234, 0.0000)
Hg (0.8766, 0.6234, 0.0000)
Te (0.0000, 0.0000, 0.5000)
Te (0.5000, 0.5000, 0.5000)
As (0.2070, 0.7070, 0.5000)
As (0.2930, 0.2070, 0.5000)
As (0.7070, 0.7930, 0.5000)
As (0.7930, 0.2930, 0.5000)